# 1
Entry from Alexandria: a relaxed InSiSb2Te crystal (PBE).

Lattice parameters (Å, degrees): 5.554 5.554 5.634 90.00 90.00 90.00
Space group P4/mmm (No. 123)
Asymmetric unit:
In: 0.000 0.000 0.000 x1
Si: 0.500 0.500 0.500 x1
Sb: 0.000 0.500 0.000 x2
Te: 0.000 0.000 0.500 x1

Output
Relative energy among the computed polymorphs: 0.630 eV per atom
Mass density: 4.91 g/cm3
Magnetization: 0.0 μB per formula unit
Total DFT energy (no corrections): -2.860 eV per atom
Raw formation energy: 1050 meV/atom
Crystal system: tetragonal

***

# 2
Entry from Alexandria: a relaxed PmP2S6 crystal (PBE).

Lattice parameters (Å, degrees): 6.5136 6.5136 20.3943 90.00 90.00 120.00
Space group R3 (No. 146, hexagonal axes)
Asymmetric unit:
Pm: 0.0000 0.0000 0.0000 x3
P: 0.0000 0.0000 0.6158 x3
P: 0.0000 0.0000 0.7353 x3
S: 0.0154 0.6254 0.4272 x9
S: 0.0458 0.3546 0.2592 x9

Output
Mass density: 2.65 g/cm3
Magnetization: 0.0 μB per formula unit
Total DFT energy (no corrections): -5.081 eV per atom
Raw formation energy: -599 meV/atom
Crystal system: trigonal

***

# 3
Entry from Alexandria: a relaxed Rb2CuSb4Au3 crystal (PBE).

Lattice parameters (Å, degrees): 4.861 4.861 11.424 90.00 90.00 90.00
Space group P-4m2 (No. 115)
Asymmetric unit:
Rb: 0.000 0.500 0.242 x2
Cu: 0.500 0.500 0.000 x1
Sb: 0.000 0.000 0.500 x1
Sb: 0.000 0.500 0.879 x2
Sb: 0.500 0.500 0.500 x1
Au: 0.000 0.000 0.000 x1
Au: 0.000 0.500 0.635 x2

Output
Mass density: 8.07 g/cm3
Magnetization: 0.0 μB per formula unit
Total DFT energy (no corrections): -3.457 eV per atom
Raw formation energy: -222 meV/atom
Crystal system: tetragonal

***

# 4
Entry from Alexandria: a relaxed SrRePb2O6 crystal (PBE).

Lattice parameters (Å, degrees): 5.698 6.408 10.258 90.00 122.46 90.00
Space group P2_1/c (No. 14)
Asymmetric unit:
Sr: 0.000 0.000 0.000 x2
Re: 0.500 0.000 0.500 x2
Pb: 0.226 0.053 0.722 x4
O: 0.181 0.156 0.482 x4
O: 0.284 0.744 0.944 x4
O: 0.367 0.055 0.279 x4

Output
Mass density: 8.24 g/cm3
Magnetization: 1.0 μB per formula unit
Total DFT energy (no corrections): -6.811 eV per atom
Raw formation energy: -1682 meV/atom
Crystal system: monoclinic

***

# 5
Entry from Alexandria: a relaxed Pm4TlPd crystal (PBE).

Lattice parameters (Å, degrees): 14.151 14.151 14.151 90.00 90.00 90.00
Space group F-43m (No. 216)
Asymmetric unit:
Pm: 0.000 0.000 0.188 x24
Pm: 0.059 0.250 0.250 x24
Pm: 0.102 0.102 0.602 x16
Tl: 0.165 0.165 0.835 x16
Pd: 0.106 0.106 0.394 x16

Output
Relative energy among the computed polymorphs: 0.000 eV per atom
Mass density: 8.35 g/cm3
Magnetization: 0.0 μB per formula unit
Total DFT energy (no corrections): -4.845 eV per atom
Crystal system: cubic

***

# 6
Entry from Alexandria: a relaxed Sc5Sn2Ge2 crystal (PBE).

Lattice parameters (Å, degrees): 14.389 7.469 7.402 90.00 90.00 90.00
Space group Cmce (No. 64)
Asymmetric unit:
Sc: 0.000 0.000 0.000 x4
Sc: 0.126 0.168 0.332 x16
Sn: 0.212 0.000 0.000 x8
Ge: 0.000 0.137 0.636 x8

Output
Mass density: 5.07 g/cm3
Magnetization: 0.0 μB per formula unit
Total DFT energy (no corrections): -6.189 eV per atom
Crystal system: orthorhombic

***

# 7
Entry from Alexandria: a relaxed Li2Sm3In5 crystal (PBE).

Lattice parameters (Å, degrees): 10.472 10.472 4.447 90.00 90.00 90.00
Space group P4/mbm (No. 127)
Asymmetric unit:
Li: 0.119 0.381 0.000 x4
Sm: 0.000 0.000 0.000 x2
Sm: 0.175 0.675 0.000 x4
In: 0.000 0.500 0.500 x2
In: 0.073 0.215 0.500 x8

Output
Mass density: 7.08 g/cm3
Magnetization: 0.0 μB per formula unit
Total DFT energy (no corrections): -3.576 eV per atom
Crystal system: tetragonal

***

# 8
Entry from Alexandria: a relaxed ScTa2Au crystal (PBE).

Lattice parameters (Å, degrees): 5.567 9.876 2.913 90.00 110.58 90.00
Space group C2/m (No. 12)
Asymmetric unit:
Sc: 0.000 0.000 0.000 x2
Ta: 0.250 0.250 0.500 x4
Au: 0.000 0.500 0.000 x2

Output
Relative energy among the computed polymorphs: 0.149 eV per atom
Mass density: 13.38 g/cm3
Magnetization: 0.0 μB per formula unit
Total DFT energy (no corrections): -8.304 eV per atom
Crystal system: monoclinic

***

# 9
Entry from Alexandria: a relaxed NdDy2Th crystal (PBE).

Lattice parameters (Å, degrees): 3.590 3.590 10.123 90.00 90.00 90.00
Space group P4/mmm (No. 123)
Asymmetric unit:
Nd: 0.000 0.000 0.000 x1
Dy: 0.500 0.500 0.260 x2
Th: 0.000 0.000 0.500 x1

Output
Relative energy among the computed polymorphs: 0.004 eV per atom
Mass density: 8.92 g/cm3
Magnetization: 0.0 μB per formula unit
Total DFT energy (no corrections): -5.330 eV per atom
Crystal system: tetragonal

***

# 10
Entry from Alexandria: a relaxed UTlTe4 crystal (PBE).

Lattice parameters (Å, degrees): 6.840 6.840 8.707 90.00 90.00 90.00
Space group P4/nbm (No. 125, origin choice 2)
Asymmetric unit:
U: 0.250 0.250 0.000 x2
Tl: 0.250 0.250 0.500 x2
Te: 0.098 0.598 0.209 x8

Output
Relative energy among the computed polymorphs: 0.000 eV per atom
Mass density: 7.77 g/cm3
Magnetization: 2.9 μB per formula unit
Total DFT energy (no corrections): -4.762 eV per atom
Raw formation energy: -392 meV/atom
Crystal system: tetragonal

***

# 11
Entry from Alexandria: a relaxed LiBiPH2 crystal (PBE).

Lattice parameters (Å, degrees): 3.704 3.704 5.007 90.00 90.00 90.00
Space group P4/mmm (No. 123)
Asymmetric unit:
Li: 0.000 0.000 0.000 x1
Bi: 0.500 0.500 0.000 x1
P: 0.000 0.000 0.500 x1
H: 0.000 0.500 0.500 x2

Output
Mass density: 6.02 g/cm3
Magnetization: 0.0 μB per formula unit
Total DFT energy (no corrections): -3.170 eV per atom
Crystal system: tetragonal

***

# 12
Entry from Alexandria: a relaxed InBrF crystal (PBE).

Lattice parameters (Å, degrees): 3.844 4.056 5.375 80.98 78.20 69.72
Space group P1 (No. 1)
Asymmetric unit:
In: 0.000 0.000 0.000 x1
Br: 0.050 0.094 0.482 x1
F: 0.646 0.654 0.997 x1

Output
Mass density: 4.63 g/cm3
Magnetization: 0.0 μB per formula unit
Total DFT energy (no corrections): -3.390 eV per atom
Raw formation energy: -1296 meV/atom
Crystal system: triclinic